## ReHgPb (PBE)

Data for an optimized crystal structure of ReHgPb.

Summary:
The density is 13.6 Mg/m³. The spin magnetization is 1.19 μB/f.u. The calculated formation energy comes out at 1.115 eV per atom. As for the electronic total energy: -0.321 Ry/atom.

a b c (Å): 6.617 6.617 6.617
angles (deg): 90.00 90.00 90.00
Space group F-43m (No. 216)
One atom of each set of equivalent atoms:
Re: 0.000 0.000 0.000
Hg: 0.250 0.250 0.250
Pb: 0.250 0.250 0.750